Record 1
Entry from Alexandria: TbNd3Ho2 after structural relaxation (PBE).

Formation enthalpy at 0 K: 0.01 eV/atom
Magnetic moment: 0.00 μB/atom
Symmetry: P-1 (2)

abc: 7.1764 8.0406 9.5273
angles: 89.49 100.38 48.28
Last column: nearest neighbours and their distance in Å.
Atoms (fractional coordinates):
Tb1 0.0000 0.2499 0.7500  6 Nd 3.59-3.60, 6 Ho 3.61-3.62
Tb2 0.0000 0.7501 0.2500  6 Nd 3.59-3.60, 6 Ho 3.61-3.62
Nd1 0.5000 0.7501 0.2501  2 Tb 3.59, 4 Ho 3.59, 6 Nd 3.61-3.62
Nd2 0.5000 0.2499 0.7499  2 Tb 3.59, 4 Ho 3.59, 6 Nd 3.61-3.62
Nd3 0.8328 0.2504 0.0834  4 Ho 3.59, 2 Tb 3.59, 6 Nd 3.61-3.62
Nd4 0.1666 0.2497 0.4164  4 Ho 3.59, 2 Tb 3.59-3.60, 6 Nd 3.61-3.62
Nd5 0.8334 0.7503 0.5836  4 Ho 3.59, 2 Tb 3.59-3.60, 6 Nd 3.61-3.62
Nd6 0.1672 0.7496 0.9166  4 Ho 3.59, 2 Tb 3.59, 6 Nd 3.61-3.62
Ho1 0.3335 0.7500 0.5834  6 Nd 3.59, 3 Ho 3.62, 3 Tb 3.62
Ho2 0.3331 0.2501 0.0832  6 Nd 3.59, 3 Tb 3.61-3.62, 3 Ho 3.62
Ho3 0.6669 0.7499 0.9168  6 Nd 3.59, 3 Tb 3.61-3.62, 3 Ho 3.62
Ho4 0.6665 0.2500 0.4166  6 Nd 3.59, 3 Ho 3.62, 3 Tb 3.62

---

Record 2
Entry from Alexandria: La2Pm3Nd6Mg after structural relaxation (PBE).

Formation enthalpy at 0 K: 0.01 eV/atom
Magnetic moment: 0.00 μB/atom
Symmetry: C2/m (12)

abc: 6.3240 6.3240 12.0963
angles: 95.06 95.06 120.05
Last column: nearest neighbours and their distance in Å.
Atoms (fractional coordinates):
La1 0.3324 0.6676 0.0000  3 La 3.64-3.67, 3 Mg 3.64-3.65, 6 Nd 3.65-3.67
La2 0.6676 0.3324 0.0000  3 La 3.64-3.67, 3 Mg 3.64-3.65, 6 Nd 3.65-3.67
Pm1 0.1666 0.8334 0.5000  6 Nd 3.63-3.66, 6 Pm 3.65
Pm2 0.8334 0.1666 0.5000  6 Nd 3.63-3.66, 6 Pm 3.65
Pm3 0.5000 0.5000 0.5000  6 Nd 3.64-3.65, 6 Pm 3.65
Nd1 0.9176 0.5881 0.7498  6 Nd 3.61-3.67, 1 Mg 3.63, 3 Pm 3.64-3.66, 2 La 3.65-3.66
Nd2 0.7530 0.7530 0.2514  6 Nd 3.61-3.67, 3 Pm 3.63-3.65, 1 Mg 3.65, 2 La 3.67
Nd3 0.0824 0.4119 0.2502  6 Nd 3.61-3.67, 1 Mg 3.63, 3 Pm 3.64-3.66, 2 La 3.65-3.66
Nd4 0.5881 0.9176 0.7498  6 Nd 3.61-3.67, 1 Mg 3.63, 3 Pm 3.64-3.66, 2 La 3.65-3.66
Nd5 0.2470 0.2470 0.7486  6 Nd 3.61-3.67, 3 Pm 3.63-3.65, 1 Mg 3.65, 2 La 3.67
Nd6 0.4119 0.0824 0.2502  6 Nd 3.61-3.67, 1 Mg 3.63, 3 Pm 3.64-3.66, 2 La 3.65-3.66
Mg1 0.0000 0.0000 0.0000  6 Nd 3.63-3.65, 6 La 3.64-3.65

---

Record 3
Entry from Alexandria: Pa3Si3Os2 after structural relaxation (PBE).

Magnetic moment: 0.00 μB/atom
Formation energy without anion corrections: -0.57 eV/atom
Symmetry: Pnma (62)

abc: 5.8527 7.4651 14.2733
angles: 90.00 90.00 90.00
Last column: nearest neighbours and their distance in Å.
Atoms (fractional coordinates):
Pa1 0.1177 0.4942 0.3913  3 Os 2.85-3.19, 5 Si 2.95-3.07
Pa2 0.6177 0.0058 0.6087  3 Os 2.85-3.19, 5 Si 2.95-3.07
Pa3 0.8823 0.5058 0.8913  3 Os 2.85-3.19, 5 Si 2.95-3.07
Pa4 0.3823 0.9942 0.1087  3 Os 2.85-3.19, 5 Si 2.95-3.07
Pa5 0.8823 0.5058 0.6087  3 Os 2.85-3.19, 5 Si 2.95-3.07
Pa6 0.3823 0.9942 0.3913  3 Os 2.85-3.19, 5 Si 2.95-3.07
Pa7 0.1177 0.4942 0.1087  3 Os 2.85-3.19, 5 Si 2.95-3.07
Pa8 0.6177 0.0058 0.8913  3 Os 2.85-3.19, 5 Si 2.95-3.07
Pa9 0.6174 0.3518 0.2500  5 Si 2.92-3.14, 4 Os 2.97-3.12
Pa10 0.1174 0.1482 0.7500  5 Si 2.92-3.14, 4 Os 2.97-3.12
Pa11 0.3826 0.6482 0.7500  5 Si 2.92-3.14, 4 Os 2.97-3.12
Pa12 0.8826 0.8518 0.2500  5 Si 2.92-3.14, 4 Os 2.97-3.12
Si1 0.1142 0.2067 0.2500  2 Os 2.53
Si2 0.6142 0.2933 0.7500  2 Os 2.53
Si3 0.8858 0.7933 0.7500  2 Os 2.53
Si4 0.3858 0.7067 0.2500  2 Os 2.53
Si5 0.5763 0.3484 0.4542  3 Os 2.40-2.48
Si6 0.0763 0.1516 0.5458  3 Os 2.40-2.48
Si7 0.4237 0.6516 0.9542  3 Os 2.40-2.48
Si8 0.9237 0.8484 0.0458  3 Os 2.40-2.48
Si9 0.4237 0.6516 0.5458  3 Os 2.40-2.48
Si10 0.9237 0.8484 0.4542  3 Os 2.40-2.48
Si11 0.5763 0.3484 0.0458  3 Os 2.40-2.48
Si12 0.0763 0.1516 0.9542  3 Os 2.40-2.48
Os1 0.8802 0.1608 0.3973  4 Si 2.40-2.53
Os2 0.3802 0.3392 0.6027  4 Si 2.40-2.53
Os3 0.1198 0.8392 0.8973  4 Si 2.40-2.53
Os4 0.6198 0.6608 0.1027  4 Si 2.40-2.53
Os5 0.1198 0.8392 0.6027  4 Si 2.40-2.53
Os6 0.6198 0.6608 0.3973  4 Si 2.40-2.53
Os7 0.8802 0.1608 0.1027  4 Si 2.40-2.53
Os8 0.3802 0.3392 0.8973  4 Si 2.40-2.53

---

Record 4
Entry from Alexandria: LuBiPtRh after structural relaxation (PBE).

Formation enthalpy at 0 K: -0.64 eV/atom
Magnetic moment: 0.00 μB/atom
Symmetry: F-43m (216)

abc: 4.8268 4.8268 4.8268
angles: 60.00 60.00 60.00
Last column: nearest neighbours and their distance in Å.
Atoms (fractional coordinates):
Lu1 0.0000 0.0000 0.0000  4 Rh 2.96, 4 Pt 2.96
Rh1 0.2500 0.2500 0.2500  4 Bi 2.96, 4 Lu 2.96
Bi1 0.5000 0.5000 0.5000  4 Rh 2.96, 4 Pt 2.96
Pt1 0.7500 0.7500 0.7500  4 Bi 2.96, 4 Lu 2.96

---

Record 5
Entry from Alexandria: NaPm2Be2O6 after structural relaxation (PBE).

Magnetic moment: 0.08 μB/atom
Formation energy without anion corrections: -2.40 eV/atom
Symmetry: R-3m (166)

abc: 5.2795 5.2795 6.6690
angles: 66.68 66.68 60.00
Last column: nearest neighbours and their distance in Å.
Atoms (fractional coordinates):
Na1 0.0000 0.0000 0.0000  6 O 2.34
Pm1 0.7966 0.7966 0.6101  3 O 2.39
Pm2 0.2034 0.2034 0.3899  3 O 2.39
Be1 0.4303 0.4303 0.7092  3 O 1.52
Be2 0.5697 0.5697 0.2908  3 O 1.52
O1 0.7332 0.7332 0.3000  1 Be 1.52
O2 0.2337 0.7332 0.3000  1 Be 1.52
O3 0.7332 0.2337 0.3000  1 Be 1.52
O4 0.2668 0.7663 0.7000  1 Be 1.52
O5 0.7663 0.2668 0.7000  1 Be 1.52
O6 0.2668 0.2668 0.7000  1 Be 1.52

---

Record 6
Entry from Alexandria: Re2HgW after structural relaxation (PBE).

Formation enthalpy at 0 K: 0.68 eV/atom
Magnetic moment: 0.00 μB/atom
Symmetry: I4/mmm (139)

abc: 4.9068 4.9068 4.9068
angles: 131.38 131.38 71.21
Last column: nearest neighbours and their distance in Å.
Atoms (fractional coordinates):
Hg1 0.7500 0.2500 0.5000  8 Re 2.84, 4 W 2.86
Re1 0.0000 0.0000 0.0000  4 Hg 2.84, 4 W 2.84, 4 Re 2.86
Re2 0.5000 0.5000 0.0000  4 W 2.84, 4 Hg 2.84, 4 Re 2.86
W1 0.2500 0.7500 0.5000  8 Re 2.84, 4 Hg 2.86

---

Record 7
Entry from Alexandria: Mo2PSe after structural relaxation (PBE).

Magnetic moment: 0.00 μB/atom
Formation energy without anion corrections: 0.20 eV/atom
Symmetry: Immm (71)

abc: 4.8879 4.8879 4.8879
angles: 139.24 119.30 75.70
Last column: nearest neighbours and their distance in Å.
Atoms (fractional coordinates):
Mo1 0.7960 0.7960 0.0000  2 P 2.32
Mo2 0.2040 0.2040 0.0000  2 P 2.32
P1 0.0000 0.5000 0.5000  4 Mo 2.32
Se1 0.5000 0.0000 0.5000  8 Mo 2.85-2.93, 4 P 3.00

---

Record 8
Entry from Alexandria: PmTmAlAg after structural relaxation (PBE).

Formation enthalpy at 0 K: -0.32 eV/atom
Magnetic moment: 0.00 μB/atom
Symmetry: F-43m (216)

abc: 5.1904 5.1904 5.1904
angles: 60.00 60.00 60.00
Last column: nearest neighbours and their distance in Å.
Atoms (fractional coordinates):
Tm1 0.5000 0.5000 0.5000  4 Al 3.18, 4 Ag 3.18
Al1 0.7500 0.7500 0.7500  4 Tm 3.18, 4 Pm 3.18
Ag1 0.2500 0.2500 0.2500  4 Tm 3.18, 4 Pm 3.18
Pm1 0.0000 0.0000 0.0000  4 Ag 3.18, 4 Al 3.18

---

Record 9
Entry from Alexandria: K2SiHg after structural relaxation (PBE).

Magnetic moment: 0.50 μB/atom
Formation energy without anion corrections: 0.26 eV/atom
Symmetry: Fm-3m (225)

abc: 5.8416 5.8416 5.8416
angles: 60.00 60.00 60.00
Last column: nearest neighbours and their distance in Å.
Atoms (fractional coordinates):
K1 0.2500 0.2500 0.2500  4 Hg 3.58, 4 Si 3.58
K2 0.7500 0.7500 0.7500  4 Si 3.58, 4 Hg 3.58
Si1 0.0000 0.0000 0.0000  8 K 3.58
Hg1 0.5000 0.5000 0.5000  8 K 3.58

---

Record 10
Entry from Alexandria: HoPaTlSn after structural relaxation (PBE).

Formation enthalpy at 0 K: -0.11 eV/atom
Magnetic moment: 0.47 μB/atom
Symmetry: F-43m (216)

abc: 5.3390 5.3390 5.3390
angles: 60.00 60.00 60.00
Last column: nearest neighbours and their distance in Å.
Atoms (fractional coordinates):
Tl1 0.7500 0.7500 0.7500  4 Ho 3.27, 4 Pa 3.27
Pa1 0.0000 0.0000 0.0000  4 Tl 3.27, 4 Sn 3.27
Ho1 0.5000 0.5000 0.5000  4 Tl 3.27, 4 Sn 3.27
Sn1 0.2500 0.2500 0.2500  4 Ho 3.27, 4 Pa 3.27

---

Record 11
Entry from Alexandria: Sr2SnCl2O2 after structural relaxation (PBE).

Magnetic moment: 0.00 μB/atom
Formation energy without anion corrections: -1.94 eV/atom
Symmetry: I4/mmm (139)

abc: 4.5251 4.5251 8.3697
angles: 105.68 105.68 90.00
Last column: nearest neighbours and their distance in Å.
Atoms (fractional coordinates):
Sr1 0.3895 0.3895 0.7790  4 O 2.84, 1 Cl 2.99
Sr2 0.6105 0.6105 0.2210  4 O 2.84, 1 Cl 2.99
Sn1 0.0000 0.0000 0.0000  4 O 2.26
Cl1 0.1963 0.1963 0.3926  1 Sr 2.99, 1 Sn 3.04
Cl2 0.8037 0.8037 0.6074  1 Sr 2.99, 1 Sn 3.04
O1 0.0000 0.5000 0.0000  2 Sn 2.26
O2 0.5000 0.0000 0.0000  2 Sn 2.26

---

Record 12
Entry from Alexandria: LaHg4Pd after structural relaxation (PBE).

Formation enthalpy at 0 K: -0.36 eV/atom
Magnetic moment: 0.00 μB/atom
Symmetry: Cmc2_1 (36)

abc: 5.0881 6.9472 8.8319
angles: 90.00 106.74 90.00
Last column: nearest neighbours and their distance in Å.
Atoms (fractional coordinates):
La1 0.8317 0.9300 0.6635  3 Pd 3.00-3.18, 3 Hg 3.33-3.34
La2 0.1683 0.4300 0.3365  3 Pd 3.00-3.18, 3 Hg 3.33-3.34
Hg1 0.9712 0.2976 0.9424  5 Hg 3.07-3.29
Hg2 0.0288 0.7976 0.0576  5 Hg 3.07-3.29
Hg3 0.4638 0.9969 0.9276  1 Pd 2.84, 3 Hg 3.05-3.10
Hg4 0.5362 0.4969 0.0724  1 Pd 2.84, 3 Hg 3.05-3.10
Hg5 0.7948 0.4022 0.5897  3 Pd 2.84-2.92, 3 Hg 3.07-3.11
Hg6 0.2052 0.9022 0.4103  3 Pd 2.84-2.92, 3 Hg 3.07-3.11
Hg7 0.6386 0.1037 0.2771  1 Pd 2.88, 3 Hg 3.05-3.11
Hg8 0.3614 0.6037 0.7229  1 Pd 2.88, 3 Hg 3.05-3.11
Pd1 0.6812 0.7029 0.3624  5 Hg 2.84-2.92, 1 La 3.00
Pd2 0.3188 0.2029 0.6376  5 Hg 2.84-2.92, 1 La 3.00

---

Record 13
Entry from Alexandria: TlCrSi2 after structural relaxation (PBE).

Magnetic moment: 0.90 μB/atom
Formation energy without anion corrections: 0.65 eV/atom
Symmetry: P4/mmm (123)

abc: 3.9362 3.9413 4.6948
angles: 90.00 90.00 90.00
Last column: nearest neighbours and their distance in Å.
Atoms (fractional coordinates):
Cr1 0.0000 0.5000 0.5000  4 Tl 2.79, 8 Si 3.06
Si1 0.0000 0.0000 0.0000  4 Si 2.79, 4 Tl 3.06, 4 Cr 3.06
Si2 0.5000 0.5000 0.0000  4 Si 2.79, 4 Cr 3.06, 4 Tl 3.06
Tl1 0.5000 0.0000 0.5000  4 Cr 2.79, 8 Si 3.06

---

Record 14
Entry from Alexandria: YScMn2 after structural relaxation (PBE).

Formation enthalpy at 0 K: 0.07 eV/atom
Magnetic moment: 0.00 μB/atom
Symmetry: R3m (160)

abc: 7.4583 7.4583 7.4583
angles: 28.65 28.65 28.65
Last column: nearest neighbours and their distance in Å.
Atoms (fractional coordinates):
Mn1 0.0386 0.0386 0.0386  3 Mn 2.15
Mn2 0.7174 0.7174 0.7174  3 Mn 2.15
Sc1 0.4661 0.4661 0.4661  6 Mn 2.76-2.94
Y1 0.2780 0.2780 0.2780  6 Mn 2.93-3.12

---

Record 15
Entry from Alexandria: HgRh after structural relaxation (PBE).

Formation enthalpy at 0 K: 1.19 eV/atom
Magnetic moment: 0.14 μB/atom
Symmetry: F-43m (216)

abc: 4.2935 4.2935 4.2935
angles: 60.00 60.00 60.00
Last column: nearest neighbours and their distance in Å.
Atoms (fractional coordinates):
Hg1 0.0000 0.0000 0.0000  4 Rh 2.63
Rh1 0.7500 0.7500 0.7500  4 Hg 2.63

---

Record 16
Entry from Alexandria: GdPuAl2 after structural relaxation (PBE).

Formation enthalpy at 0 K: -0.22 eV/atom
Magnetic moment: 3.13 μB/atom
Symmetry: P4/mmm (123)

abc: 3.5858 3.5858 7.2870
angles: 90.00 90.00 90.00
Last column: nearest neighbours and their distance in Å.
Atoms (fractional coordinates):
Gd1 0.5000 0.5000 0.5000  8 Al 3.13
Al1 0.0000 0.0000 0.7516  4 Pu 3.12, 4 Gd 3.13
Al2 0.0000 0.0000 0.2484  4 Pu 3.12, 4 Gd 3.13
Pu1 0.5000 0.5000 0.0000  8 Al 3.12

---

Record 17
Entry from Alexandria: LaZnPt2 after structural relaxation (PBE).

Formation enthalpy at 0 K: -0.66 eV/atom
Magnetic moment: 0.00 μB/atom
Symmetry: P4/mmm (123)

abc: 4.6711 4.6739 3.6625
angles: 90.00 90.00 90.00
Last column: nearest neighbours and their distance in Å.
Atoms (fractional coordinates):
La1 0.0000 0.5000 0.5000  8 Pt 2.97, 4 Zn 3.30
Pt1 0.0000 0.0000 0.0000  4 Zn 2.97, 4 La 2.97, 4 Pt 3.30
Pt2 0.5000 0.5000 0.0000  4 La 2.97, 4 Zn 2.97, 4 Pt 3.30
Zn1 0.5000 0.0000 0.5000  8 Pt 2.97, 4 La 3.30

---

Record 18
Entry from Alexandria: La8Ag2Rh after structural relaxation (PBE).

Formation enthalpy at 0 K: -0.22 eV/atom
Magnetic moment: 0.00 μB/atom
Symmetry: C2/m (12)

abc: 5.0983 7.3970 9.5855
angles: 93.66 105.42 90.00
Last column: nearest neighbours and their distance in Å.
Atoms (fractional coordinates):
La1 0.5911 0.4727 0.1822  8 La 3.42-3.75, 2 Ag 3.65, 1 Rh 3.78
La2 0.3525 0.0053 0.7051  1 Rh 2.73
La3 0.2103 0.3346 0.4206  3 Ag 3.13-3.27
La4 0.0100 0.7707 0.0199  2 Rh 3.07, 1 Ag 3.28, 1 La 3.44
La5 0.7897 0.6654 0.5794  3 Ag 3.13-3.27
La6 0.6475 0.9947 0.2949  1 Rh 2.73
La7 0.4089 0.5273 0.8178  8 La 3.42-3.75, 2 Ag 3.65, 1 Rh 3.78
La8 0.9900 0.2293 0.9801  2 Rh 3.07, 1 Ag 3.28, 1 La 3.44
Ag1 0.1865 0.7501 0.3731  7 La 3.13-3.49
Ag2 0.8135 0.2499 0.6269  7 La 3.13-3.49
Rh1 0.5000 0.0000 0.0000  2 La 2.73

---

Record 19
Entry from Alexandria: TlZnPb2 after structural relaxation (PBE).

Formation enthalpy at 0 K: 0.13 eV/atom
Magnetic moment: 0.00 μB/atom
Symmetry: I4/mmm (139)

abc: 5.9666 5.9666 5.9666
angles: 132.90 132.90 68.82
Last column: nearest neighbours and their distance in Å.
Atoms (fractional coordinates):
Pb1 0.0000 0.0000 0.0000  4 Pb 3.37, 4 Zn 3.43, 4 Tl 3.43
Pb2 0.5000 0.5000 0.0000  4 Pb 3.37, 4 Tl 3.43, 4 Zn 3.43
Tl1 0.2500 0.7500 0.5000  4 Zn 3.37, 8 Pb 3.43
Zn1 0.7500 0.2500 0.5000  4 Tl 3.37, 8 Pb 3.43

---

Record 20
Entry from Alexandria: BaSrTl2 after structural relaxation (PBE).

Formation enthalpy at 0 K: -0.40 eV/atom
Magnetic moment: 0.00 μB/atom
Symmetry: Pm (6)

abc: 5.9326 4.2191 5.9572
angles: 90.01 90.00 90.00
Last column: nearest neighbours and their distance in Å.
Atoms (fractional coordinates):
Sr1 0.5000 0.6241 0.8679  8 Tl 3.60-3.70
Tl1 0.0000 0.1253 0.8900  4 Ba 3.62-3.68, 4 Sr 3.64-3.65
Tl2 0.5000 0.1250 0.3572  4 Sr 3.60-3.70, 4 Ba 3.64-3.65
Ba1 0.0000 0.6256 0.3849  8 Tl 3.62-3.68